Entry 1:
The following is a PBE calculation of an optimized crystal structure of Tc2OsCl, from the Alexandria database.

Geometry as POSCAR:
```
Tc2OsCl
1.0
-1.6641 -1.1933 -3.8747
-3.1825 -2.2079 2.0502
0.6476 4.2415 0.8923
Os Cl Tc
1 1 2
Direct
0.7500 0.2500 0.5000
0.5000 0.5000 0.0000
0.0000 0.0000 0.0000
0.2500 0.7500 0.5000
```

The density of states at the Fermi level is 0.87 states/eV/atom. The uncorrected energy is -29.72 eV per formula unit. The value obtained for the energy relative to the elements, uncorrected is 1.02 eV/atom. The calculated volume comes out at 14.9 Å³/atom.



Entry 2:
The following is a PBE calculation of an optimized crystal structure of RbZr5Se8, from the Alexandria database.

Geometry as POSCAR:
```
RbZr5Se8
1.0
3.7088 0.0000 -0.7253
-0.4707 9.5413 -2.4069
0.0253 0.0068 9.9738
Zr Se Rb
5 8 1
Direct
0.3368 0.0004 0.6736
0.7082 0.3523 0.4164
0.2918 0.6477 0.5837
0.6632 0.9995 0.3264
0.0000 0.0000 0.0000
0.8423 0.5010 0.6846
0.0888 0.8254 0.1776
0.4251 0.8271 0.8502
0.2457 0.1752 0.4914
0.9112 0.1746 0.8224
0.7543 0.8247 0.5086
0.5749 0.1729 0.1498
0.1577 0.4990 0.3154
0.5000 0.5001 0.0000
```

The density of states at the Fermi level is 0.47 states/eV/atom. The uncorrected energy is -90.90 eV per formula unit. The value obtained for the energy relative to the elements, uncorrected is -1.38 eV/atom. The calculated volume comes out at 25.2 Å³/atom.



Entry 3:
The following is a PBE calculation of an optimized crystal structure of Li2NdScTl4, from the Alexandria database.

Geometry as POSCAR:
```
Li2NdScTl4
1.0
5.1209 0.0000 0.0000
2.5605 4.4349 0.0000
2.5605 1.4783 8.5439
Sc Tl Li Nd
1 4 2 1
Direct
0.5000 0.5000 0.5000
0.1287 0.1287 0.6139
0.6181 0.6181 0.1456
0.8713 0.8713 0.3861
0.3819 0.3819 0.8544
0.2479 0.2479 0.2564
0.7521 0.7521 0.7436
0.0000 0.0000 0.0000
```

The density of states at the Fermi level is 0.28 states/eV/atom. Its formation energy is -0.2886 eV per atom. The uncorrected energy is -26.70 eV per formula unit. The calculated volume comes out at 24.3 Å³/atom.



Entry 4:
The following is a PBE calculation of an optimized crystal structure of PrErSnHg, from the Alexandria database.

Geometry as POSCAR:
```
PrErSnHg
1.0
4.4508 0.0000 0.0000
0.0000 4.4650 0.0000
-2.2254 0.0000 5.8185
Sn Pr Hg Er
1 1 1 1
Direct
0.5871 0.5000 0.1743
0.8616 0.5000 0.7233
0.4129 0.0000 0.8258
0.1383 0.0000 0.2767
```

The density of states at the Fermi level is 1.02 states/eV/atom. Its formation energy is -0.5680 eV per atom. The uncorrected energy is -15.92 eV per formula unit. The calculated volume comes out at 28.9 Å³/atom.



Entry 5:
The following is a PBE calculation of an optimized crystal structure of Tb4Ti, from the Alexandria database.

Geometry as POSCAR:
```
Tb4Ti
1.0
-0.5114 -3.0933 -4.4314
5.3253 -1.0468 0.1161
-0.9207 -4.3363 3.1332
Ti Tb
1 4
Direct
0.5000 0.5000 0.5000
0.0000 0.5000 0.5000
0.5000 0.0000 0.5000
0.0000 0.0000 0.0000
0.5000 0.5000 0.0000
```

The density of states at the Fermi level is 1.29 states/eV/atom. Its formation energy is 0.4687 eV per atom. The uncorrected energy is -24.07 eV per formula unit. The calculated volume comes out at 32.0 Å³/atom.



Entry 6:
The following is a PBE calculation of an optimized crystal structure of UAsPdN, from the Alexandria database.

Geometry as POSCAR:
```
UAsPdN
1.0
-1.6865 3.2846 1.3011
-2.9857 -2.0958 1.4207
3.9821 -0.8017 7.1857
U As Pd N
2 2 2 2
Direct
0.0000 0.5000 0.8596
0.5000 0.0000 0.1404
0.5000 0.0000 0.7000
0.0000 0.5000 0.3000
0.5000 0.5000 0.5000
0.0000 0.0000 0.5000
0.0000 0.0000 0.0000
0.5000 0.5000 0.0000
```

The density of states at the Fermi level is 1.00 states/eV/atom. The uncorrected energy is -33.36 eV per formula unit. The value obtained for the energy relative to the elements, uncorrected is -0.98 eV/atom. The calculated volume comes out at 15.8 Å³/atom.